4
Lattice="4.2689 0.0000 0.0000 0.0000 4.2689 0.0000 0.0000 0.0000 6.9900" Properties=species:S:1:pos:R:3 comment="PrNd2Sn PBE-GGA relaxed" sg="No. 123" dos_at_fermi_per_ev_cell=5.388 delta_e_f_ev_per_fu=-1.39 pbc="T T T"
Pr 0.0000 0.0000 0.0000
Nd 2.1344 2.1344 1.9355
Nd 2.1344 2.1344 5.0544
Sn 0.0000 0.0000 3.4950


4
Lattice="0.0000 3.8640 3.8640 3.8640 0.0000 3.8640 3.8640 3.8640 0.0000" Properties=species:S:1:pos:R:3 comment="CaEuCdHg PBE-GGA relaxed" sg="No. 216" dos_at_fermi_per_ev_cell=9.486 delta_e_f_ev_per_fu=-1.79 pbc="T T T"
Ca 0.0000 0.0000 0.0000
Eu 3.8640 3.8640 3.8640
Cd 1.9320 1.9320 1.9320
Hg 5.7961 5.7961 5.7961


10
Lattice="4.1574 0.0000 0.0000 0.0000 4.1574 0.0000 0.0000 0.0000 9.6542" Properties=species:S:1:pos:R:3 comment="U2Si4Os3Ru PBE-GGA relaxed" raw_formation_energy_ev_per_atom=-0.47 sg="No. 115" dos_at_fermi_per_ev_cell=11.700 pbc="T T T"
U 0.0000 2.0787 2.4074
U 2.0787 0.0000 7.2468
Si 0.0000 0.0000 4.8271
Si 0.0000 2.0787 8.4526
Si 2.0787 0.0000 1.2016
Si 2.0787 2.0787 4.8271
Os 0.0000 0.0000 0.0000
Os 0.0000 2.0787 6.0941
Os 2.0787 0.0000 3.5601
Ru 2.0787 2.0787 0.0000


8
Lattice="3.9910 0.0000 0.0000 0.0000 3.9910 0.0000 0.0000 0.0000 7.9271" Properties=species:S:1:pos:R:3 comment="GaPt6Au PBE-GGA relaxed" sg="No. 123" dos_at_fermi_per_ev_cell=10.954 delta_e_f_ev_per_fu=-1.39 pbc="T T T"
Ga 0.0000 0.0000 0.0000
Pt 0.0000 1.9955 1.9017
Pt 0.0000 1.9955 6.0253
Pt 1.9955 0.0000 1.9017
Pt 1.9955 0.0000 6.0253
Pt 1.9955 1.9955 0.0000
Pt 1.9955 1.9955 3.9635
Au 0.0000 0.0000 3.9635


Question: Number 2 is which compound?
Answer: CaEuCdHg


What did the first record say?
4
Lattice="4.2689 0.0000 0.0000 0.0000 4.2689 0.0000 0.0000 0.0000 6.9900" Properties=species:S:1:pos:R:3 comment="PrNd2Sn PBE-GGA relaxed" sg="No. 123" dos_at_fermi_per_ev_cell=5.388 delta_e_f_ev_per_fu=-1.39 pbc="T T T"
Pr 0.0000 0.0000 0.0000
Nd 2.1344 2.1344 1.9355
Nd 2.1344 2.1344 5.0544
Sn 0.0000 0.0000 3.4950